A plane-wave DFT calculation with PBE-GGA was carried out for an optimized crystal structure of PmPr2Sm6Dy3. Values from VASP.

```
&SYSTEM
  ibrav = 0, nat = 12, ntyp = 4
/
ATOMIC_SPECIES
Sm 150.36 Sm.upf
Pm 145.00 Pm.upf
Dy 162.50 Dy.upf
Pr 140.91 Pr.upf
CELL_PARAMETERS angstrom
-5.9442 1.5512 1.3028
1.2395 -4.1180 -4.5762
0.9688 -8.0024 8.9006
ATOMIC_POSITIONS angstrom
Sm -0.4451 -6.6041 5.8246
Pm 0.0000 0.0000 0.0000
Sm -2.1310 -1.7353 2.4190
Dy -4.2631 -3.3943 4.7738
Dy -1.8679 -5.2846 2.8136
Dy 0.5273 -7.1748 0.8534
Pr -1.1553 -2.2281 -2.6163
Sm -3.9962 -6.9466 5.1654
Pr -3.5493 -0.3387 -0.6571
Sm 0.2604 -3.6226 0.4619
Sm -1.6047 -8.8339 3.2082
Sm -3.2907 -3.9650 -0.1973
```

Computed properties:
space-group type	C2/m (12)
magnetization	0.00	μB per formula unit
energy relative to the elements	1.6	kJ per mole of atoms
ρ	7.47	g/cm³

---

A plane-wave DFT calculation with PBE-GGA was carried out for an optimized crystal structure of AlW2Cl. Values from VASP.

```
&SYSTEM
  ibrav = 0, nat = 4, ntyp = 3
/
ATOMIC_SPECIES
W 183.84 W.upf
Al 26.98 Al.upf
Cl 35.45 Cl.upf
CELL_PARAMETERS angstrom
3.2702 0.0000 0.0000
0.0000 3.2715 0.0000
0.0000 0.0000 6.7942
ATOMIC_POSITIONS angstrom
W 0.0000 0.0000 0.4738
Al 1.6351 1.6357 1.6985
Cl 1.6351 1.6357 5.0956
W 0.0000 0.0000 2.9232
```

Computed properties:
space-group type	P4/mmm (123)
magnetization	0.00	μB per formula unit
formation energy from raw total energies	2.64	eV/f.u.
ρ	9.83	g/cm³

---

A plane-wave DFT calculation with PBE-GGA was carried out for an optimized crystal structure of Ba4LiAc3Te8. Values from VASP.

```
&SYSTEM
  ibrav = 0, nat = 16, ntyp = 4
/
ATOMIC_SPECIES
Te 127.60 Te.upf
Ba 137.33 Ba.upf
Li 6.94 Li.upf
Ac 227.00 Ac.upf
CELL_PARAMETERS angstrom
9.6421 0.0000 0.0000
0.0000 9.7136 0.0433
-4.8210 -4.8167 6.8218
ATOMIC_POSITIONS angstrom
Te 0.0000 0.1053 3.4819
Ba -2.4105 -2.4083 3.4109
Ba 2.4105 -2.4083 3.4109
Te 2.3771 2.5641 0.0832
Li 0.0000 4.8568 0.0216
Ac 2.4105 2.4485 3.4325
Te 0.0000 4.7745 3.3269
Ba 0.0000 0.0000 0.0000
Ac -2.4105 2.4485 3.4325
Te 7.2649 2.5641 0.0832
Te 4.8210 0.1225 3.5382
Te 4.8210 4.7917 3.3832
Te -2.4439 2.3329 6.7819
Ac 4.8210 4.8568 0.0216
Te 2.4439 2.3329 6.7819
Ba 4.8210 0.0000 0.0000
```

Computed properties:
space-group type	R-3m (166)
magnetization	0.00	μB per formula unit
formation energy from raw total energies	-25.52	eV/f.u.
ρ	5.85	g/cm³

---

A plane-wave DFT calculation with PBE-GGA was carried out for an optimized crystal structure of Cu2TcHgS. Values from VASP.

```
&SYSTEM
  ibrav = 0, nat = 5, ntyp = 4
/
ATOMIC_SPECIES
Cu 63.55 Cu.upf
S 32.06 S.upf
Tc 98.00 Tc.upf
Hg 200.59 Hg.upf
CELL_PARAMETERS angstrom
4.1704 0.0000 0.0000
0.0000 6.3795 0.0000
0.0000 0.0000 4.1704
ATOMIC_POSITIONS angstrom
Cu 0.0000 0.0000 2.0852
S 0.0000 0.0000 0.0000
Tc 2.0852 3.1897 2.0852
Cu 2.0852 0.0000 0.0000
Hg 0.0000 3.1897 0.0000
```

Computed properties:
space-group type	P4/mmm (123)
magnetization	3.65	μB per formula unit
formation energy from raw total energies	4.44	eV/f.u.
ρ	6.85	g/cm³

---

A plane-wave DFT calculation with PBE-GGA was carried out for an optimized crystal structure of CuNi2Te. Values from VASP.

```
&SYSTEM
  ibrav = 0, nat = 4, ntyp = 3
/
ATOMIC_SPECIES
Te 127.60 Te.upf
Ni 58.69 Ni.upf
Cu 63.55 Cu.upf
CELL_PARAMETERS angstrom
4.7418 -0.0122 0.0145
3.2689 3.4350 0.0145
1.4704 0.6283 3.3895
ATOMIC_POSITIONS angstrom
Te 4.7406 2.0256 1.7083
Ni 9.4801 4.0507 3.4174
Ni 2.3704 1.0128 0.8556
Cu 7.1117 3.0387 2.5648
```

Computed properties:
space-group type	I-4m2 (119)
magnetization	0.00	μB per formula unit
formation energy from raw total energies	0.33	eV/f.u.
ρ	9.27	g/cm³

---

A plane-wave DFT calculation with PBE-GGA was carried out for an optimized crystal structure of Tb2InS4. Values from VASP.

```
&SYSTEM
  ibrav = 0, nat = 7, ntyp = 3
/
ATOMIC_SPECIES
S 32.06 S.upf
Tb 158.93 Tb.upf
In 114.82 In.upf
CELL_PARAMETERS angstrom
3.9887 0.0000 0.0000
0.0000 6.9930 -0.1541
-1.9943 -3.5553 6.6312
ATOMIC_POSITIONS angstrom
S 1.9943 0.9931 1.8552
S 1.9943 -1.3389 4.8853
Tb 0.0000 -0.0925 3.5707
In 0.0000 0.0000 0.0000
S 0.0000 2.4445 4.6219
S 0.0000 4.7766 1.5918
Tb 1.9943 3.5302 2.9064
```

Computed properties:
space-group type	C2/m (12)
magnetization	0.00	μB per formula unit
formation energy from raw total energies	-10.59	eV/f.u.
ρ	5.10	g/cm³

---

Which of these has the highest ρ? AlW2Cl

---

Number 2 is which compound? AlW2Cl